1.
First-principles (PBE-GGA) data for CsLaHRhS after structural relaxation, as listed in Alexandria.

Calculated values
ΔE to the lowest computed polymorph	53	meV/atom
V	131.4	Å³/cell

Lattice parameters (Å, degrees): 3.987 4.240 8.202 103.25 102.86 90.15
Space group P1 (No. 1)
Asymmetric unit:
Cs (0.000, 0.000, 0.000)
La (0.775, 0.465, 0.511)
H (0.186, 0.677, 0.308)
Rh (0.270, 0.950, 0.499)
S (0.390, 0.380, 0.762)

---

2.
First-principles (PBE-GGA) data for NaZnRu2 after structural relaxation, as listed in Alexandria.

Calculated values
V	295.5	Å³/cell
calculated formation energy	16.83	kcal/mol of atoms

Lattice parameters (Å, degrees): 3.940 3.940 19.035 90.00 90.00 90.00
Space group I-42d (No. 122)
Asymmetric unit:
Na (0.000, 0.000, 0.000)
Zn (0.000, 0.000, 0.500)
Ru (0.158, 0.250, 0.625)

---

3.
First-principles (PBE-GGA) data for GaSiMo2 after structural relaxation, as listed in Alexandria.

Calculated values
ΔE to the lowest computed polymorph	184	meV/atom
V	197.4	Å³/cell
ΔE_f (raw)	0.22	eV/atom

Lattice parameters (Å, degrees): 3.5781 3.5781 17.8014 90.00 90.00 120.00
Space group R-3m (No. 166, hexagonal axes)
Asymmetric unit:
Ga (0.0000, 0.0000, 0.0000)
Si (0.0000, 0.0000, 0.5000)
Mo (0.0000, 0.0000, 0.2373)